Entry from the Open Quantum Materials Database: ErNpI6 after structural relaxation (GGA-PBE).

Structure (extended XYZ):
```
16
Lattice="7.716 0.000 0.000 0.000 13.376 0.000 -2.511 0.000 7.298" Properties=species:S:1:pos:R:3 pbc="T T T"
Er 0.000 0.000 0.000
Er 3.858 6.688 0.000
Np 0.000 4.445 0.000
Np 3.858 11.133 0.000
I 1.121 2.158 1.794
I -0.054 13.282 5.539
I 1.295 11.287 1.758
I 0.052 4.599 5.539
I 1.401 6.594 1.758
I 0.226 8.845 5.503
I 4.979 8.845 1.794
I 3.804 6.594 5.539
I 5.153 4.599 1.758
I 3.910 11.287 5.539
I 5.259 13.282 1.758
I 4.084 2.158 5.503
```

Output
E = -4.48 eV per atom
Crystal system = monoclinic

Entry from the Open Quantum Materials Database: ErI3O9 after structural relaxation (GGA-PBE).

Structure (extended XYZ):
```
52
Lattice="8.576 0.000 0.000 0.000 5.847 0.000 -6.719 0.000 14.549" Properties=species:S:1:pos:R:3 pbc="T T T"
Er 0.541 1.287 1.486
Er -2.818 1.637 8.761
Er 4.676 4.210 5.789
Er 1.316 4.560 13.063
I -1.690 1.103 5.110
I -5.049 1.820 12.385
I -0.417 3.839 7.621
I 2.942 4.931 0.346
I -1.775 3.506 11.615
I 1.584 5.265 4.340
I 0.273 0.582 10.209
I 3.633 2.341 2.935
I -1.085 0.916 14.203
I 2.274 2.008 6.928
I 6.906 4.026 2.165
I 3.547 4.744 9.439
O -4.164 0.370 10.137
O -0.805 2.554 2.863
O -3.677 3.524 9.811
O -0.318 5.246 2.536
O -2.167 0.654 6.811
O -5.526 2.269 14.086
O -2.190 3.607 7.122
O -5.549 5.164 14.397
O -3.050 3.447 12.955
O 0.310 5.323 5.681
O 1.212 1.121 3.768
O -2.147 1.802 11.042
O -3.278 0.435 13.684
O 0.081 2.489 6.410
O -1.194 5.845 9.243
O 2.165 2.925 1.968
O 2.588 0.183 1.799
O -0.771 2.741 9.073
O 2.628 3.106 5.476
O -0.731 5.664 12.751
O 3.051 0.002 5.306
O -0.308 2.922 12.581
O 1.776 3.358 8.140
O 5.135 5.412 0.865
O 4.004 4.045 3.507
O 0.645 4.725 10.782
O 1.548 0.523 8.869
O 4.907 2.400 1.594
O 7.407 0.683 0.153
O 4.047 2.240 7.427
O 7.383 3.577 0.463
O 4.024 5.193 7.738
O 2.175 0.601 12.013
O 5.534 2.323 4.738
O 2.662 3.293 11.687
O 6.022 5.477 4.412
```

Output
E = -5.12 eV per atom
Crystal system = monoclinic

Entry from the Open Quantum Materials Database: Er3IO4 after structural relaxation (GGA-PBE).

Structure (extended XYZ):
```
8
Lattice="3.890 0.000 0.000 0.000 3.890 0.000 0.000 0.000 9.088" Properties=species:S:1:pos:R:3 pbc="T T T"
Er 0.000 0.000 0.000
Er 1.945 1.945 2.255
Er 1.945 1.945 6.832
I 0.000 0.000 4.544
O 0.000 1.945 1.357
O 0.000 1.945 7.730
O 1.945 0.000 1.357
O 1.945 0.000 7.730
```

Output
E = -7.54 eV per atom
Crystal system = tetragonal

Entry from the Open Quantum Materials Database: PrErI2O2 after structural relaxation (GGA-PBE).

Structure (extended XYZ):
```
6
Lattice="4.005 0.000 0.000 0.000 4.005 0.000 0.000 0.000 9.247" Properties=species:S:1:pos:R:3 pbc="T T T"
Pr 0.000 0.000 0.000
Er 2.002 2.002 6.975
I 0.000 0.000 5.056
I 2.002 2.002 1.908
O 0.000 2.002 8.003
O 2.002 0.000 8.003
```

Output
E = -6.40 eV per atom
Crystal system = tetragonal

Entry from the Open Quantum Materials Database: ErTmI2O2 after structural relaxation (GGA-PBE).

Structure (extended XYZ):
```
6
Lattice="3.882 0.000 0.000 0.000 3.882 0.000 0.000 0.000 9.219" Properties=species:S:1:pos:R:3 pbc="T T T"
Er 0.000 0.000 0.000
Tm 1.941 1.941 7.078
I 0.000 0.000 5.175
I 1.941 1.941 1.902
O 0.000 1.941 8.137
O 1.941 0.000 8.137
```

Output
E = -6.40 eV per atom
Crystal system = tetragonal

Entry from the Open Quantum Materials Database: YErI2O2 after structural relaxation (GGA-PBE).

Structure (extended XYZ):
```
6
Lattice="3.917 0.000 0.000 0.000 3.917 0.000 0.000 0.000 9.301" Properties=species:S:1:pos:R:3 pbc="T T T"
Y 0.000 0.000 0.000
Er 1.959 1.959 2.172
I 0.000 0.000 4.072
I 1.959 1.959 7.399
O 0.000 1.959 1.110
O 1.959 0.000 1.110
```

Output
E = -6.71 eV per atom
Crystal system = tetragonal

Entry from the Open Quantum Materials Database: PrEr2I2 after structural relaxation (GGA-PBE).

Structure (extended XYZ):
```
10
Lattice="-3.669 7.289 3.233 3.669 -7.289 3.233 3.669 7.289 -3.233" Properties=species:S:1:pos:R:3 pbc="T T T"
Pr 0.000 0.000 0.000
Pr 0.000 0.000 3.233
Er 2.683 -3.486 1.641
Er 4.654 3.486 1.641
Er 0.985 3.803 1.641
Er -0.985 10.775 1.641
I 4.852 -1.242 1.608
I 2.485 1.242 1.608
I -1.184 6.047 1.608
I 1.184 8.531 1.608
```

Output
E = -3.77 eV per atom
Crystal system = orthorhombic

Entry from the Open Quantum Materials Database: ErTmS2I2 after structural relaxation (GGA-PBE).

Structure (extended XYZ):
```
6
Lattice="4.127 0.000 0.000 0.000 5.310 0.000 0.000 0.000 9.464" Properties=species:S:1:pos:R:3 pbc="T T T"
Er 0.000 0.000 0.000
Tm 2.063 2.655 2.230
S 0.000 2.655 0.471
S 2.063 0.000 1.778
I 0.000 2.655 4.428
I 2.063 0.000 7.250
```

Output
E = -5.20 eV per atom
Crystal system = orthorhombic

Entry from the Open Quantum Materials Database: ErSbI6 after structural relaxation (GGA-PBE).

Structure (extended XYZ):
```
16
Lattice="7.617 0.000 0.000 0.000 13.204 0.000 -2.475 0.000 7.214" Properties=species:S:1:pos:R:3 pbc="T T T"
Er 0.000 0.000 0.000
Er 3.809 6.602 0.000
Sb 0.000 8.810 0.000
Sb 3.809 2.208 0.000
I 1.111 11.032 1.781
I -0.014 0.107 5.471
I 0.022 8.682 5.473
I 1.312 2.080 1.741
I 1.348 6.709 1.743
I 0.223 4.430 5.433
I 4.919 4.430 1.781
I 3.794 6.709 5.471
I 3.830 2.080 5.473
I 5.120 8.682 1.741
I 5.157 0.107 1.743
I 4.031 11.032 5.433
```

Output
E = -3.11 eV per atom
Crystal system = monoclinic

Entry from the Open Quantum Materials Database: ErSnSbI2 after structural relaxation (GGA-PBE).

Structure (extended XYZ):
```
5
Lattice="4.391 0.000 0.000 -2.196 3.803 0.000 0.000 0.000 11.474" Properties=species:S:1:pos:R:3 pbc="T T T"
Er 0.000 0.000 0.000
Sn 0.000 2.535 3.566
Sb 2.196 1.268 1.671
I 0.000 0.000 5.552
I 0.000 2.535 9.572
```

Output
E = -3.91 eV per atom
Crystal system = trigonal

Entry from the Open Quantum Materials Database: TbErSbI2 after structural relaxation (GGA-PBE).

Structure (extended XYZ):
```
5
Lattice="4.323 0.000 0.000 -2.161 3.744 0.000 0.000 0.000 11.161" Properties=species:S:1:pos:R:3 pbc="T T T"
Tb 0.000 0.000 0.000
Er 2.161 1.248 7.798
Sb 0.000 2.496 9.447
I 0.000 0.000 5.875
I 2.161 1.248 1.961
```

Output
E = -4.53 eV per atom
Crystal system = trigonal

Entry from the Open Quantum Materials Database: ErTmSbI2 after structural relaxation (GGA-PBE).

Structure (extended XYZ):
```
5
Lattice="4.288 0.000 0.000 -2.144 3.714 0.000 0.000 0.000 11.059" Properties=species:S:1:pos:R:3 pbc="T T T"
Er 0.000 0.000 0.000
Tm 0.000 2.476 3.320
Sb 2.144 1.238 1.671
I 0.000 0.000 5.239
I 0.000 2.476 9.130
```

Output
E = -4.46 eV per atom
Crystal system = trigonal

Entry from the Open Quantum Materials Database: YErSbI2 after structural relaxation (GGA-PBE).

Structure (extended XYZ):
```
5
Lattice="4.324 0.000 0.000 -2.162 3.745 0.000 0.000 0.000 11.164" Properties=species:S:1:pos:R:3 pbc="T T T"
Y 0.000 0.000 0.000
Er 2.162 1.248 7.807
Sb 0.000 2.496 9.458
I 0.000 0.000 5.873
I 2.162 1.248 1.946
```

Output
E = -4.90 eV per atom
Crystal system = trigonal

Entry from the Open Quantum Materials Database: ErTmSnI2 after structural relaxation (GGA-PBE).

Structure (extended XYZ):
```
5
Lattice="4.330 0.000 0.000 -2.165 3.750 0.000 -0.324 -2.150 11.693" Properties=species:S:1:pos:R:3 pbc="T T T"
Er 0.000 0.000 0.000
Tm -0.325 0.350 8.333
Sn 1.840 -0.900 10.004
I 0.000 2.500 1.931
I 1.840 1.600 6.418
```

Output
E = -4.27 eV per atom
Crystal system = triclinic

Entry from the Open Quantum Materials Database: Er2Te2I after structural relaxation (GGA-PBE).

Structure (extended XYZ):
```
10
Lattice="-3.308 3.308 8.215 3.308 -3.308 8.215 3.308 3.308 -8.215" Properties=species:S:1:pos:R:3 pbc="T T T"
Er 0.000 0.000 0.000
Er 1.654 1.654 -4.107
Er 1.654 -1.654 4.107
Er 0.000 3.308 0.000
Te 3.308 1.654 -1.591
Te 0.000 1.654 2.516
Te 3.308 1.654 5.699
Te 0.000 1.654 9.806
I 3.308 1.654 2.054
I 0.000 1.654 6.161
```

Output
E = -3.54 eV per atom
Crystal system = tetragonal

Entry from the Open Quantum Materials Database: ErTeI after structural relaxation (GGA-PBE).

Structure (extended XYZ):
```
12
Lattice="7.865 0.000 0.000 0.000 8.561 0.000 -2.676 0.000 7.031" Properties=species:S:1:pos:R:3 pbc="T T T"
Er -0.543 1.091 1.641
Er -1.881 3.189 5.157
Er 7.070 5.372 1.874
Er 5.732 7.470 5.389
Te -0.788 1.071 6.994
Te 0.550 3.209 3.479
Te 4.640 5.352 3.552
Te 5.977 7.490 0.037
I 1.894 5.325 0.100
I 0.556 7.516 3.616
I 4.633 1.045 3.415
I 3.295 3.236 6.930
```

Output
E = -4.42 eV per atom
Crystal system = monoclinic

Entry from the Open Quantum Materials Database: ErTm3I after structural relaxation (GGA-PBE).

Structure (extended XYZ):
```
5
Lattice="5.567 0.000 0.000 0.000 5.567 0.000 0.000 0.000 5.567" Properties=species:S:1:pos:R:3 pbc="T T T"
Er 0.000 0.000 0.000
Tm 0.000 2.783 2.783
Tm 2.783 0.000 2.783
Tm 2.783 2.783 0.000
I 2.783 2.783 2.783
```

Output
E = -3.63 eV per atom
Crystal system = cubic

Entry from the Open Quantum Materials Database: YErI6 after structural relaxation (GGA-PBE).

Structure (extended XYZ):
```
16
Lattice="7.630 0.000 0.000 0.000 13.222 0.000 -2.490 0.000 7.312" Properties=species:S:1:pos:R:3 pbc="T T T"
Y 0.000 0.000 0.000
Y 3.815 6.611 0.000
Er 0.000 4.394 0.000
Er 3.815 11.005 0.000
I 1.097 2.213 1.783
I -0.026 4.519 5.564
I 0.001 13.081 5.562
I 1.324 6.470 1.750
I 1.352 11.130 1.748
I 0.228 8.824 5.529
I 4.912 8.824 1.783
I 3.789 11.130 5.564
I 3.816 6.470 5.562
I 5.139 13.081 1.750
I 5.167 4.519 1.748
I 4.044 2.213 5.529
```

Output
E = -3.94 eV per atom
Crystal system = monoclinic

Entry from the Open Quantum Materials Database: ErIn after structural relaxation (GGA-PBE).

Structure (extended XYZ):
```
4
Lattice="4.797 0.000 0.000 -2.399 4.155 0.000 0.000 0.000 5.980" Properties=species:S:1:pos:R:3 pbc="T T T"
Er 0.000 2.770 1.495
Er 2.399 1.385 4.485
In 0.000 0.000 0.000
In 0.000 0.000 2.990
```

Output
E = -3.78 eV per atom
Crystal system = hexagonal

Entry from the Open Quantum Materials Database: Er2In after structural relaxation (GGA-PBE).

Structure (extended XYZ):
```
6
Lattice="0.000 4.411 4.411 4.411 0.000 4.411 4.411 4.411 0.000" Properties=species:S:1:pos:R:3 pbc="T T T"
Er 0.000 0.000 0.000
Er 2.205 2.205 0.000
Er 2.205 0.000 2.205
Er 0.000 2.205 2.205
In 3.308 3.308 3.308
In 5.513 5.513 5.513
```

Output
E = -3.81 eV per atom
Crystal system = cubic

Entry from the Open Quantum Materials Database: ErIn after structural relaxation (GGA-PBE).

Structure (extended XYZ):
```
4
Lattice="4.642 0.000 0.000 -2.321 4.020 0.000 0.000 0.000 6.643" Properties=species:S:1:pos:R:3 pbc="T T T"
Er 0.000 0.000 0.000
Er 0.000 0.000 3.321
In 0.000 2.680 1.661
In 2.321 1.340 4.982
```

Output
E = -3.57 eV per atom
Crystal system = hexagonal

Entry from the Open Quantum Materials Database: ErIn after structural relaxation (GGA-PBE).

Structure (extended XYZ):
```
8
Lattice="6.894 0.000 0.000 0.000 6.894 0.000 0.000 0.000 6.894" Properties=species:S:1:pos:R:3 pbc="T T T"
Er 0.000 0.000 0.000
Er 0.000 3.447 3.447
Er 3.447 0.000 3.447
Er 3.447 3.447 0.000
In 1.723 1.723 5.170
In 1.723 5.170 1.723
In 5.170 1.723 1.723
In 5.170 5.170 5.170
```

Output
E = -2.93 eV per atom
Crystal system = cubic

Entry from the Open Quantum Materials Database: ErIn after structural relaxation (GGA-PBE).

Structure (extended XYZ):
```
2
Lattice="3.497 0.000 0.000 -1.749 3.029 0.000 0.000 0.000 5.142" Properties=species:S:1:pos:R:3 pbc="T T T"
Er 0.000 0.000 0.000
In 1.749 1.010 2.571
```

Output
E = -3.90 eV per atom
Crystal system = hexagonal

Entry from the Open Quantum Materials Database: ErIn after structural relaxation (GGA-PBE).

Structure (extended XYZ):
```
8
Lattice="6.172 0.000 0.000 0.000 6.172 0.000 0.000 0.000 6.172" Properties=species:S:1:pos:R:3 pbc="T T T"
Er 0.000 0.000 0.000
Er 0.000 3.086 3.086
Er 3.086 0.000 3.086
Er 3.086 3.086 0.000
In 0.000 0.000 3.086
In 0.000 3.086 0.000
In 3.086 0.000 0.000
In 3.086 3.086 3.086
```

Output
E = -3.69 eV per atom
Crystal system = cubic

Entry from the Open Quantum Materials Database: Er2In after structural relaxation (GGA-PBE).

Structure (extended XYZ):
```
9
Lattice="8.844 0.000 0.000 -4.422 7.659 0.000 0.000 0.000 3.679" Properties=species:S:1:pos:R:3 pbc="T T T"
Er -1.663 2.881 0.000
Er -3.134 5.429 1.840
Er 1.287 2.230 1.840
Er 3.327 0.000 0.000
Er 2.758 4.778 0.000
Er 6.269 0.000 1.840
In 0.000 0.000 0.000
In 0.000 5.106 1.840
In 4.422 2.553 1.840
```

Output
E = -4.26 eV per atom
Crystal system = hexagonal